Compound: La3PmIr8
Source: Alexandria
Functional: PBE
Structure: optimized geometry

Results
Calculated density in g/cm³: 15.147
M_tot in μB/f.u.: 0.00
Formation enthalpy at 0 K in eV per atom: -0.72
DOS at the Fermi energy in states/eV/atom: 0.738

Cell lengths 9.449, 9.449, 9.449 Å; angles 33.60, 33.60, 33.60 degrees
Fractional coordinates of all 12 atoms:
La1 0.000 0.000 0.000
La2 0.125 0.125 0.125
La3 0.500 0.500 0.500
Pm1 0.625 0.625 0.625
Ir1 0.061 0.562 0.562
Ir2 0.063 0.063 0.563
Ir3 0.063 0.563 0.063
Ir4 0.312 0.312 0.312
Ir5 0.562 0.061 0.562
Ir6 0.562 0.562 0.061
Ir7 0.563 0.063 0.063
Ir8 0.812 0.812 0.812